# HoCuNiP2, optimized geometry, DFT PBE
data_HoCuNiP2
_chemical_formula_sum 'Ho2 Cu2 Ni2 P4'
_symmetry_space_group_name_H-M 'I -4 m 2'
_symmetry_Int_Tables_number 119
_symmetry_space_group_name_Hall 'I -4 -2'
_cell_length_a 3.8431
_cell_length_b 3.8431
_cell_length_c 9.9689
_cell_angle_alpha 90.00
_cell_angle_beta 90.00
_cell_angle_gamma 90.00
loop_
_atom_site_label
_atom_site_type_symbol
_atom_site_fract_x
_atom_site_fract_y
_atom_site_fract_z
_atom_site_occupancy
Ho1 Ho 0.0000 0.0000 0.0000 1
Cu1 Cu 0.0000 0.5000 0.2500 1
Ni1 Ni 0.0000 0.5000 0.7500 1
P1 P 0.0000 0.0000 0.3796 1
# Total moment in μB per formula unit: 0.00
# DFT formation energy in eV per atom: -0.7936
# Final energy in eV per cell: -58.5
# Density in g/cm3: 7.9
# Density of states at the Fermi level in states/eV/f.u.: 2.70